Below is a relaxed structure of Pu2ZnIn, with properties calculated at the GGA-PBE level.

Unit cell a=4.7713 b=3.1348 c=6.1458 alpha=90.00 beta=90.06 gamma=90.00
Closest atoms and distances in Å follow each position.
Space group P2/m (No. 10)
Inequivalent atoms, fractional coordinates:
Pu 0.9999 0.0000 0.2375  4 Pu 2.92-3.23, 4 Zn 3.20-3.21
Zn 0.5000 0.5000 0.0000  2 In 3.07, 2 Zn 3.13, 8 Pu 3.20-3.21
In 0.5000 0.5000 0.5000  2 Zn 3.07, 2 In 3.13, 8 Pu 3.28

Results
Total magnetic moment in μB per atom: 2.769
Calculated total energy in eV per atom: -8.27